DFT (GGA-PBE) results for an optimized crystal structure of KAg3Os.

a b c (Å): 5.215 5.215 5.215
angles (deg): 90.00 90.00 90.00
Atoms (fractional coordinates):
K (0.500, 0.500, 0.500)
Os (0.000, 0.000, 0.000)
Ag (0.000, 0.500, 0.000)
Ag (0.000, 0.000, 0.500)
Ag (0.500, 0.000, 0.000)

Properties
offset from the most stable computed form	0.0	meV/atom
energy of formation	0.984	eV per atom